# 1
The following is a DFT calculation (SCAN) of RbAgAsH2 at its PBEsol-relaxed geometry.

Unit cell a=3.969 b=3.969 c=6.464 alpha=90.00 beta=90.00 gamma=90.00
Space group P4/mmm (No. 123)
Inequivalent atoms, fractional coordinates:
Rb 0.000 0.000 0.000 (multiplicity 1)
Ag 0.000 0.000 0.500 (multiplicity 1)
As 0.500 0.500 0.500 (multiplicity 1)
H 0.000 0.500 0.000 (multiplicity 2)

Computed properties:
Its electronic total energy is -73.4 eV for the cell shown. The value obtained for the volume is 20.362 A^3/atom. The magnetic moment is 0.685 μB per cell. As for the crystal system: tetragonal.

***

# 2
The following is a DFT calculation (SCAN) of NbPt3Br at its PBEsol-relaxed geometry.

Unit cell a=4.631 b=4.631 c=4.631 alpha=90.00 beta=90.00 gamma=90.00
Space group Pm-3m (No. 221)
Inequivalent atoms, fractional coordinates:
Nb 0.000 0.000 0.000 (multiplicity 1)
Pt 0.000 0.500 0.500 (multiplicity 3)
Br 0.500 0.500 0.500 (multiplicity 1)

Computed properties:
The value obtained for the volume is 19.869 A^3/atom. Its raw formation energy is 1.2875 eV/atom. The magnetic moment is 2.737 μB per cell. As for the crystal system: cubic.

***

> magnetic moment of number 1 (RbAgAsH2)?

0.685 μB per cell

***

> The highest volume belongs to which entry?

RbAgAsH2